CdTc2Mo | PBE | relaxed

abc: 4.345 4.345 3.384
angles: 90.00 90.00 90.00
Sites, in units of the cell vectors:
1 Cd 0.000 0.000 0.000
2 Tc 0.000 0.500 0.500
3 Tc 0.500 0.000 0.500
4 Mo 0.500 0.500 0.000

Properties
- Formation enthalpy at 0 K: 0.448 eV per atom
- SG: P4/mmm
- V: 63.9 Å³/f.u.

PmFeP2Ir | PBE | relaxed

abc: 5.698 5.698 5.698
angles: 139.45 139.45 58.69
Sites, in units of the cell vectors:
1 Pm 0.000 0.000 0.000
2 Fe 0.750 0.250 0.500
3 P 0.376 0.376 0.000
4 P 0.624 0.624 0.000
5 Ir 0.250 0.750 0.500

Properties
- Formation enthalpy at 0 K: -0.904 eV per atom
- SG: I-4m2
- V: 77.5 Å³/f.u.

Q: Which value of formation enthalpy at 0 K does entry 1 give?
A: 0.448 eV per atom